## one
# NiP2Pd | Alexandria via LeMat-Bulk | PBE | relaxed
data_NiP2Pd
_cell_length_a 6.276
_cell_length_b 6.276
_cell_length_c 6.276
_cell_angle_alpha 130.24
_cell_angle_beta 130.24
_cell_angle_gamma 73.02
_symmetry_space_group_name_H-M 'P 1'
_symmetry_Int_Tables_number 1
_symmetry_space_group_name_Hall 'P 1'
loop_
_atom_site_label
_atom_site_fract_x
_atom_site_fract_y
_atom_site_fract_z
_atom_site_occupancy
Ni1 0.000 0.000 0.000 1
Ni2 0.750 0.250 0.500 1
P1 0.096 0.625 0.971 1
P2 0.375 0.346 0.471 1
P3 0.654 0.125 0.029 1
P4 0.875 0.904 0.529 1
Pd1 0.250 0.750 0.500 1
Pd2 0.500 0.500 0.000 1
# Fermi-level density of states = 6.22 states/eV/cell
# space group = I-42d (122)

---

## two
# NiP2Pd | Alexandria via LeMat-Bulk | PBE | relaxed
data_NiP2Pd
_cell_length_a 4.239
_cell_length_b 4.239
_cell_length_c 4.239
_cell_angle_alpha 60.00
_cell_angle_beta 60.00
_cell_angle_gamma 60.00
_symmetry_space_group_name_H-M 'P 1'
_symmetry_Int_Tables_number 1
_symmetry_space_group_name_Hall 'P 1'
loop_
_atom_site_label
_atom_site_fract_x
_atom_site_fract_y
_atom_site_fract_z
_atom_site_occupancy
Ni1 0.000 0.000 0.000 1
P1 0.250 0.250 0.250 1
P2 0.750 0.750 0.750 1
Pd1 0.500 0.500 0.500 1
# Fermi-level density of states = 2.09 states/eV/cell
# space group = Fm-3m (225)

---

Of them, two has the lowest stability.

---

## one
# Ni2P2Pd | Alexandria via LeMat-Bulk | PBE | relaxed
data_Ni2P2Pd
_cell_length_a 5.801
_cell_length_b 5.801
_cell_length_c 5.801
_cell_angle_alpha 144.15
_cell_angle_beta 144.15
_cell_angle_gamma 51.61
_symmetry_space_group_name_H-M 'P 1'
_symmetry_Int_Tables_number 1
_symmetry_space_group_name_Hall 'P 1'
loop_
_atom_site_label
_atom_site_fract_x
_atom_site_fract_y
_atom_site_fract_z
_atom_site_occupancy
Ni1 0.120 0.120 0.000 1
Ni2 0.880 0.880 0.000 1
P1 0.250 0.750 0.500 1
P2 0.750 0.250 0.500 1
Pd1 0.500 0.500 0.000 1
# Fermi-level density of states = 3.46 states/eV/cell
# space group = I4/mmm (139)

---

## two
# Ni2P2Pd | Alexandria via LeMat-Bulk | PBE | relaxed
data_Ni2P2Pd
_cell_length_a 6.684
_cell_length_b 6.684
_cell_length_c 2.818
_cell_angle_alpha 90.00
_cell_angle_beta 90.00
_cell_angle_gamma 90.00
_symmetry_space_group_name_H-M 'P 1'
_symmetry_Int_Tables_number 1
_symmetry_space_group_name_Hall 'P 1'
loop_
_atom_site_label
_atom_site_fract_x
_atom_site_fract_y
_atom_site_fract_z
_atom_site_occupancy
Ni1 0.136 0.364 0.000 1
Ni2 0.364 0.864 0.000 1
Ni3 0.636 0.136 0.000 1
Ni4 0.864 0.636 0.000 1
P1 0.159 0.659 0.500 1
P2 0.341 0.159 0.500 1
P3 0.659 0.841 0.500 1
P4 0.841 0.341 0.500 1
Pd1 0.000 0.000 0.500 1
Pd2 0.500 0.500 0.500 1
# Fermi-level density of states = 9.03 states/eV/cell
# space group = P4/mbm (127)

---

Of them, one has the lowest stability.

---

## one
# NiP2PdS | Alexandria via LeMat-Bulk | PBE | relaxed
data_NiP2PdS
_cell_length_a 4.550
_cell_length_b 4.550
_cell_length_c 4.891
_cell_angle_alpha 90.00
_cell_angle_beta 90.00
_cell_angle_gamma 90.00
_symmetry_space_group_name_H-M 'P 1'
_symmetry_Int_Tables_number 1
_symmetry_space_group_name_Hall 'P 1'
loop_
_atom_site_label
_atom_site_fract_x
_atom_site_fract_y
_atom_site_fract_z
_atom_site_occupancy
Ni1 0.000 0.000 0.000 1
P1 0.000 0.500 0.500 1
P2 0.500 0.000 0.500 1
Pd1 0.500 0.500 0.500 1
S1 0.500 0.500 0.000 1
# Fermi-level density of states = 4.27 states/eV/cell
# space group = P4/mmm (123)

---

## two
# NiP2PdS | Alexandria via LeMat-Bulk | PBE | relaxed
data_NiP2PdS
_cell_length_a 4.286
_cell_length_b 4.286
_cell_length_c 4.627
_cell_angle_alpha 90.00
_cell_angle_beta 90.00
_cell_angle_gamma 90.00
_symmetry_space_group_name_H-M 'P 1'
_symmetry_Int_Tables_number 1
_symmetry_space_group_name_Hall 'P 1'
loop_
_atom_site_label
_atom_site_fract_x
_atom_site_fract_y
_atom_site_fract_z
_atom_site_occupancy
Ni1 0.000 0.000 0.000 1
P1 0.000 0.500 0.000 1
P2 0.500 0.000 0.000 1
Pd1 0.500 0.500 0.500 1
S1 0.000 0.000 0.500 1
# Fermi-level density of states = 3.94 states/eV/cell
# space group = P4/mmm (123)

---

Of them, one has the lowest stability.

---

## one
# NiPPdS2 | Alexandria via LeMat-Bulk | PBE | relaxed
data_NiPPdS2
_cell_length_a 4.539
_cell_length_b 4.539
_cell_length_c 4.203
_cell_angle_alpha 90.00
_cell_angle_beta 90.00
_cell_angle_gamma 90.00
_symmetry_space_group_name_H-M 'P 1'
_symmetry_Int_Tables_number 1
_symmetry_space_group_name_Hall 'P 1'
loop_
_atom_site_label
_atom_site_fract_x
_atom_site_fract_y
_atom_site_fract_z
_atom_site_occupancy
Ni1 0.000 0.000 0.000 1
P1 0.000 0.000 0.500 1
Pd1 0.500 0.500 0.500 1
S1 0.000 0.500 0.000 1
S2 0.500 0.000 0.000 1
# Fermi-level density of states = 5.71 states/eV/cell
# space group = P4/mmm (123)

---

## two
# NiPPdS2 | Alexandria via LeMat-Bulk | PBE | relaxed
data_NiPPdS2
_cell_length_a 4.813
_cell_length_b 4.813
_cell_length_c 4.442
_cell_angle_alpha 90.00
_cell_angle_beta 90.00
_cell_angle_gamma 90.00
_symmetry_space_group_name_H-M 'P 1'
_symmetry_Int_Tables_number 1
_symmetry_space_group_name_Hall 'P 1'
loop_
_atom_site_label
_atom_site_fract_x
_atom_site_fract_y
_atom_site_fract_z
_atom_site_occupancy
Ni1 0.000 0.000 0.000 1
P1 0.500 0.500 0.000 1
Pd1 0.500 0.500 0.500 1
S1 0.000 0.500 0.500 1
S2 0.500 0.000 0.500 1
# Fermi-level density of states = 6.22 states/eV/cell
# space group = P4/mmm (123)

---

Of them, two has the lowest stability.

---

## one
# PmNiP | Alexandria via LeMat-Bulk | PBE | relaxed
data_PmNiP
_cell_length_a 3.957
_cell_length_b 3.957
_cell_length_c 4.018
_cell_angle_alpha 90.00
_cell_angle_beta 90.00
_cell_angle_gamma 120.00
_symmetry_space_group_name_H-M 'P 1'
_symmetry_Int_Tables_number 1
_symmetry_space_group_name_Hall 'P 1'
loop_
_atom_site_label
_atom_site_fract_x
_atom_site_fract_y
_atom_site_fract_z
_atom_site_occupancy
Pm1 0.000 0.000 0.000 1
Ni1 0.667 0.333 0.500 1
P1 0.333 0.667 0.500 1
# Fermi-level density of states = 1.61 states/eV/cell
# space group = P-6m2 (187)

---

## two
# PmNiP | Alexandria via LeMat-Bulk | PBE | relaxed
data_PmNiP
_cell_length_a 3.945
_cell_length_b 3.945
_cell_length_c 8.045
_cell_angle_alpha 90.00
_cell_angle_beta 90.00
_cell_angle_gamma 120.00
_symmetry_space_group_name_H-M 'P 1'
_symmetry_Int_Tables_number 1
_symmetry_space_group_name_Hall 'P 1'
loop_
_atom_site_label
_atom_site_fract_x
_atom_site_fract_y
_atom_site_fract_z
_atom_site_occupancy
Pm1 0.000 0.000 0.000 1
Pm2 0.000 0.000 0.500 1
Ni1 0.333 0.667 0.250 1
Ni2 0.667 0.333 0.750 1
P1 0.333 0.667 0.750 1
P2 0.667 0.333 0.250 1
# Fermi-level density of states = 2.86 states/eV/cell
# space group = P6_3/mmc (194)

---

Of them, one has the lowest stability.

---

## one
# PrNi3P | Alexandria via LeMat-Bulk | PBE | relaxed
data_PrNi3P
_cell_length_a 4.331
_cell_length_b 4.331
_cell_length_c 4.331
_cell_angle_alpha 90.00
_cell_angle_beta 90.00
_cell_angle_gamma 90.00
_symmetry_space_group_name_H-M 'P 1'
_symmetry_Int_Tables_number 1
_symmetry_space_group_name_Hall 'P 1'
loop_
_atom_site_label
_atom_site_fract_x
_atom_site_fract_y
_atom_site_fract_z
_atom_site_occupancy
Pr1 0.000 0.000 0.000 1
Ni1 0.000 0.500 0.500 1
Ni2 0.500 0.000 0.500 1
Ni3 0.500 0.500 0.000 1
P1 0.500 0.500 0.500 1
# Fermi-level density of states = 1.07 states/eV/cell
# space group = Pm-3m (221)

---

## two
# PrNi3P | Alexandria via LeMat-Bulk | PBE | relaxed
data_PrNi3P
_cell_length_a 5.908
_cell_length_b 5.908
_cell_length_c 5.908
_cell_angle_alpha 48.09
_cell_angle_beta 48.09
_cell_angle_gamma 48.09
_symmetry_space_group_name_H-M 'P 1'
_symmetry_Int_Tables_number 1
_symmetry_space_group_name_Hall 'P 1'
loop_
_atom_site_label
_atom_site_fract_x
_atom_site_fract_y
_atom_site_fract_z
_atom_site_occupancy
Pr1 0.000 0.000 0.000 1
Ni1 0.506 0.985 0.985 1
Ni2 0.985 0.506 0.985 1
Ni3 0.985 0.985 0.506 1
P1 0.262 0.262 0.262 1
# Fermi-level density of states = 5.89 states/eV/cell
# space group = R3m (160)

---

Of them, two has the lowest stability.